[1]
PBE CeMgPd, optimized geometry; crystal system = hexagonal; ΔE to the lowest computed polymorph = 0.0 kJ/mol of atoms; density of states at the Fermi level = 19.50 states/eV per cell; formation energy from the elements = -0.558 eV per atom
1.0
-2.3549 -7.2287 0.1381
7.4339 1.5819 0.2306
-0.1537 0.1280 4.0767
Ce Mg Pd
3 3 3
Cartesian
4.2584 0.9865 2.1729
-1.4502 -4.1516 2.1189
2.0402 -2.2897 2.1921
3.8617 -4.2934 0.2804
-0.5644 -1.7325 0.0331
1.7817 0.3791 0.0553
4.1710 -1.3550 0.1998
-0.0769 0.0640 2.0384
0.9080 -4.2918 0.1690

[2]
PBE CeMg3Pd12, optimized geometry; crystal system = tetragonal; density of states at the Fermi level = 17.50 states/eV per cell; formation energy from the elements = -0.563 eV per atom
1.0
4.0652 0.0000 0.0000
0.0000 4.0652 0.0000
0.0000 0.0000 15.7272
Pd Ce Mg
12 1 3
Cartesian
2.0326 0.0000 9.7682
2.0326 2.0326 7.8636
0.0000 2.0326 9.7682
2.0326 0.0000 13.6469
2.0326 0.0000 2.0803
2.0326 2.0326 0.0000
2.0326 2.0326 4.0303
2.0326 0.0000 5.9590
2.0326 2.0326 11.6969
0.0000 2.0326 2.0803
0.0000 2.0326 13.6469
0.0000 2.0326 5.9590
0.0000 0.0000 0.0000
0.0000 0.0000 7.8636
0.0000 0.0000 4.0555
0.0000 0.0000 11.6717

[3]
PBE CeMgPd, optimized geometry; crystal system = orthorhombic; ΔE to the lowest computed polymorph = 3.0 kJ/mol of atoms; density of states at the Fermi level = 39.58 states/eV per cell; formation energy from the elements = -0.527 eV per atom
1.0
4.0099 0.0000 0.0000
0.0000 7.6891 0.0000
0.0000 0.0000 13.5031
Ce Pd Mg
6 6 6
Cartesian
0.0000 1.7813 12.9309
0.0000 6.5938 10.1273
0.0000 1.7813 7.3237
0.0000 5.9078 0.5722
0.0000 5.9078 6.1794
0.0000 1.0953 3.3758
0.0000 4.2329 3.3758
2.0050 0.4660 1.3578
2.0050 7.2231 12.1453
2.0050 0.4660 5.3937
2.0050 7.2231 8.1093
0.0000 3.4562 10.1273
2.0050 1.6157 10.1273
2.0050 6.0734 3.3758
2.0050 3.3484 5.0506
2.0050 3.3484 1.7009
2.0050 4.3407 8.4525
2.0050 4.3407 11.8022